First-principles (PBE-GGA) data for a relaxed structure of NaDy2PaBi4, as listed in the Alexandria database.

Calculated values
- Formation enthalpy at 0 K: -0.48 eV/atom
- ρ: 9.1 g cm⁻³

The structure in POSCAR format:
```
NaDy2PaBi4
1.0
-3.5117 -0.1700 -2.8133
-2.3297 -6.5707 3.3053
-3.3131 5.9915 3.7736
Bi Dy Na Pa
4 2 1 1
Direct
0.0000 0.2400 0.7487
0.0000 0.7600 0.2513
0.5000 0.7526 0.7527
0.5000 0.2474 0.2473
0.0000 0.5000 0.5000
0.5000 0.0000 0.5000
0.5000 0.5000 0.0000
0.0000 0.0000 0.0000
```